Record 1
First-principles (GGA-PBE) data for a relaxed RbZn crystal, as listed in OQMD via LeMat-Bulk.

abc: 8.365 8.365 5.072
angles: 90.00 90.00 120.02
Fractional coordinates of all 8 atoms:
Rb (0.812, 0.623, 0.500)
Rb (0.812, 0.188, 0.500)
Rb (0.377, 0.188, 0.500)
Rb (0.000, 0.000, 0.000)
Zn (0.121, 0.560, 0.000)
Zn (0.439, 0.561, 0.000)
Zn (0.440, 0.879, 0.000)
Zn (0.333, 0.667, 0.500)



Record 2
First-principles (GGA-PBE) data for a relaxed TmSnTe2AuS crystal, as listed in OQMD via LeMat-Bulk.

abc: 7.599 7.599 10.174
angles: 90.00 90.00 147.49
Fractional coordinates of all 12 atoms:
Tm (0.000, 0.000, 0.500)
Tm (0.000, 0.000, 0.000)
Te (0.651, 0.349, 0.055)
Te (0.651, 0.349, 0.445)
Te (0.349, 0.651, 0.555)
Te (0.349, 0.651, 0.945)
Sn (0.729, 0.271, 0.750)
Sn (0.271, 0.729, 0.250)
S (0.918, 0.082, 0.250)
S (0.082, 0.918, 0.750)
Au (0.482, 0.518, 0.750)
Au (0.518, 0.482, 0.250)



no.,calculated total energy (eV for the cell shown)
1,-6.60
2,-52.74